Density functional theory data (PBE) for a relaxed TaGaNi2Te crystal.

CIF file:
```
data_TaGaNi2Te
_chemical_formula_sum 'Ta1 Ga1 Ni2 Te1'
_space_group_name_H-M_alt 'P 1'
_space_group_IT_number 1
_cell_length_a 4.287
_cell_length_b 5.209
_cell_length_c 4.287
_cell_angle_alpha 90.00
_cell_angle_beta 90.00
_cell_angle_gamma 90.00
loop_
_space_group_symop_operation_xyz
'x,y,z'
loop_
_atom_site_label
_atom_site_type_symbol
_atom_site_fract_x
_atom_site_fract_y
_atom_site_fract_z
Ni1 Ni 0.000 0.000 0.500
Ga1 Ga 0.000 0.000 0.000
Ta1 Ta 0.500 0.500 0.500
Te1 Te 0.000 0.500 0.000
Ni2 Ni 0.500 0.000 0.000
```

Values from the calculation:
Relative energy among the computed polymorphs   0.57 eV/f.u.
Size of the total moment   0.0007 μB/atom
Total energy   -24.31 eV per cell
Formation energy from raw total energies   1.054 eV per atom



Density functional theory data (PBE) for a relaxed KCe3Br8 crystal.

CIF file:
```
data_KCe3Br8
_chemical_formula_sum 'K1 Ce3 Br8'
_space_group_name_H-M_alt 'P 1'
_space_group_IT_number 1
_cell_length_a 8.328
_cell_length_b 8.328
_cell_length_c 9.476
_cell_angle_alpha 63.93
_cell_angle_beta 63.93
_cell_angle_gamma 60.00
loop_
_space_group_symop_operation_xyz
'x,y,z'
loop_
_atom_site_label
_atom_site_type_symbol
_atom_site_fract_x
_atom_site_fract_y
_atom_site_fract_z
Br1 Br 0.743 0.743 0.772
Br2 Br 0.739 0.238 0.786
Ce1 Ce 0.500 0.500 0.000
Ce2 Ce 0.500 0.000 0.000
Br3 Br 0.257 0.257 0.228
Br4 Br 0.762 0.762 0.214
Br5 Br 0.238 0.238 0.786
K1 K 0.500 0.500 0.500
Br6 Br 0.261 0.762 0.214
Br7 Br 0.238 0.739 0.786
Br8 Br 0.762 0.261 0.214
Ce3 Ce 0.000 0.500 0.000
```

Values from the calculation:
Size of the total moment   0.4170 μB/atom
Total energy   -52.69 eV per cell
Formation energy from raw total energies   -1.701 eV per atom



Density functional theory data (PBE) for a relaxed Sm3Dy7Tl2 crystal.

CIF file:
```
data_Sm3Dy7Tl2
_chemical_formula_sum 'Sm3 Dy7 Tl2'
_space_group_name_H-M_alt 'P 1'
_space_group_IT_number 1
_cell_length_a 3.624
_cell_length_b 5.673
_cell_length_c 18.977
_cell_angle_alpha 104.02
_cell_angle_beta 90.00
_cell_angle_gamma 90.00
loop_
_space_group_symop_operation_xyz
'x,y,z'
loop_
_atom_site_label
_atom_site_type_symbol
_atom_site_fract_x
_atom_site_fract_y
_atom_site_fract_z
Sm1 Sm 0.500 0.500 0.000
Sm2 Sm 0.000 0.140 0.366
Dy1 Dy 0.000 0.523 0.851
Tl1 Tl 0.500 0.418 0.708
Dy2 Dy 0.000 0.000 0.000
Dy3 Dy 0.000 0.477 0.149
Dy4 Dy 0.500 0.283 0.541
Tl2 Tl 0.500 0.582 0.292
Sm3 Sm 0.000 0.860 0.634
Dy5 Dy 0.500 0.005 0.831
Dy6 Dy 0.500 0.717 0.459
Dy7 Dy 0.500 0.995 0.169
```

Values from the calculation:
Size of the total moment   0.0000 μB/atom
Total energy   -51.40 eV per cell



Density functional theory data (PBE) for a relaxed Mg2CuPt9 crystal.

CIF file:
```
data_Mg2CuPt9
_chemical_formula_sum 'Mg2 Cu1 Pt9'
_space_group_name_H-M_alt 'P 1'
_space_group_IT_number 1
_cell_length_a 3.945
_cell_length_b 3.945
_cell_length_c 11.831
_cell_angle_alpha 90.00
_cell_angle_beta 90.00
_cell_angle_gamma 90.00
loop_
_space_group_symop_operation_xyz
'x,y,z'
loop_
_atom_site_label
_atom_site_type_symbol
_atom_site_fract_x
_atom_site_fract_y
_atom_site_fract_z
Pt1 Pt 0.000 0.500 0.163
Pt2 Pt 0.500 0.000 0.837
Cu1 Cu 0.000 0.000 0.000
Pt3 Pt 0.500 0.500 0.000
Pt4 Pt 0.500 0.000 0.163
Pt5 Pt 0.500 0.000 0.500
Pt6 Pt 0.000 0.500 0.837
Mg1 Mg 0.000 0.000 0.331
Pt7 Pt 0.500 0.500 0.332
Mg2 Mg 0.000 0.000 0.669
Pt8 Pt 0.500 0.500 0.668
Pt9 Pt 0.000 0.500 0.500
```

Values from the calculation:
Size of the total moment   0.0000 μB/atom
Total energy   -66.91 eV per cell



Density functional theory data (PBE) for a relaxed CdCu2Te2 crystal.

CIF file:
```
data_CdCu2Te2
_chemical_formula_sum 'Cd2 Cu4 Te4'
_space_group_name_H-M_alt 'P 1'
_space_group_IT_number 1
_cell_length_a 8.069
_cell_length_b 8.069
_cell_length_c 3.419
_cell_angle_alpha 90.00
_cell_angle_beta 90.00
_cell_angle_gamma 90.00
loop_
_space_group_symop_operation_xyz
'x,y,z'
loop_
_atom_site_label
_atom_site_type_symbol
_atom_site_fract_x
_atom_site_fract_y
_atom_site_fract_z
Cu1 Cu 0.889 0.389 0.500
Te1 Te 0.816 0.684 0.000
Cd1 Cd 0.500 0.500 0.000
Cu2 Cu 0.111 0.611 0.500
Te2 Te 0.684 0.184 0.000
Te3 Te 0.316 0.816 0.000
Te4 Te 0.184 0.316 0.000
Cd2 Cd 0.000 0.000 0.000
Cu3 Cu 0.611 0.889 0.500
Cu4 Cu 0.389 0.111 0.500
```

Values from the calculation:
Relative energy among the computed polymorphs   1.23 eV/f.u.
Size of the total moment   0.0000 μB/atom
Total energy   -28.53 eV per cell
Formation energy from raw total energies   0.225 eV per atom



Density functional theory data (PBE) for a relaxed K5Rb crystal.

CIF file:
```
data_K5Rb
_chemical_formula_sum 'K5 Rb1'
_space_group_name_H-M_alt 'P 1'
_space_group_IT_number 1
_cell_length_a 6.773
_cell_length_b 6.765
_cell_length_c 10.373
_cell_angle_alpha 109.03
_cell_angle_beta 90.00
_cell_angle_gamma 90.00
loop_
_space_group_symop_operation_xyz
'x,y,z'
loop_
_atom_site_label
_atom_site_type_symbol
_atom_site_fract_x
_atom_site_fract_y
_atom_site_fract_z
Rb1 Rb 0.000 0.000 0.000
K1 K 0.500 0.170 0.340
K2 K 0.000 0.331 0.662
K3 K 0.500 0.500 0.000
K4 K 0.500 0.830 0.660
K5 K 0.000 0.669 0.338
```

Values from the calculation:
Relative energy among the computed polymorphs   0.00 eV/f.u.
Size of the total moment   0.0000 μB/atom
Total energy   -6.45 eV per cell